First-principles (PBE-GGA) data for an optimized crystal structure of Ac5SiSn4, as listed in Alexandria via LeMat-Bulk.

- N(E_F) (states/eV per cell) = 23.63
- uncorrected formation energy (eV per atom) = -0.465
- calculated volume (A^3/atom) = 38.24
- total moment (Bohr magnetons per cell) = 0.0
- crystal system = tetragonal

Cell lengths 10.651, 10.651, 6.741 Å; angles 90.00, 90.00, 90.00 degrees
Space group I4/m (No. 87)
Unique sites:
Ac 0.000 0.000 0.000 [2 per cell]
Ac 0.099 0.280 0.500 [8 per cell]
Si 0.000 0.000 0.500 [2 per cell]
Sn 0.086 0.309 0.000 [8 per cell]